No. 1
A plane-wave DFT calculation with GGA-PBE was carried out for a geometry-optimized YInO3 structure.

```
10
Lattice="5.6296 0.0000 0.0000 0.0000 3.6505 0.0000 -2.7448 0.0000 8.0517" Properties=species:S:1:pos:R:3 pbc="T T T"
Y 0.0530 0.9126 3.2970
Y 2.8318 2.7379 4.7547
In 0.1670 0.9126 6.7334
In 2.7178 2.7379 1.3183
O -1.3147 0.9126 5.1873
O 1.8840 0.9126 0.6292
O 1.3751 2.7379 3.0029
O 1.5097 0.9126 5.0488
O 1.0009 2.7379 7.4225
O 4.1995 2.7379 2.8644
```

No. 2
5
Lattice="4.8396 0.0000 0.0000 0.0000 4.8396 0.0000 0.0000 0.0000 4.8396" Properties=species:S:1:pos:R:3 comment="YIn3O (GGA-PBE, relaxed)" de_polymorph_mev_per_atom=0 pbc="T T T"
Y 0.0000 0.0000 0.0000
In 0.0000 2.4198 2.4198
In 2.4198 0.0000 2.4198
In 2.4198 2.4198 0.0000
O 2.4198 2.4198 2.4198

No. 3
16
Lattice="7.1295 0.0000 0.0000 0.0000 7.1295 0.0000 0.0000 0.0000 7.1295" Properties=species:S:1:pos:R:3 comment="Y2InO (GGA-PBE, relaxed)" de_polymorph_mev_per_atom=1138 pbc="T T T"
Y 1.7824 1.7824 1.7824
Y 1.7824 1.7824 5.3471
Y 1.7824 5.3471 1.7824
Y 1.7824 5.3471 5.3471
Y 5.3471 1.7824 1.7824
Y 5.3471 1.7824 5.3471
Y 5.3471 5.3471 1.7824
Y 5.3471 5.3471 5.3471
In 0.0000 0.0000 0.0000
In 0.0000 3.5648 3.5648
In 3.5648 0.0000 3.5648
In 3.5648 3.5648 0.0000
O 0.0000 0.0000 3.5648
O 0.0000 3.5648 0.0000
O 3.5648 0.0000 0.0000
O 3.5648 3.5648 3.5648

No. 4
A plane-wave DFT calculation with GGA-PBE was carried out for a geometry-optimized Y6In2O structure.

```
9
Lattice="-3.4388 3.4388 4.8545 3.4388 -3.4388 4.8545 3.4388 3.4388 -4.8545" Properties=species:S:1:pos:R:3 pbc="T T T"
Y 0.0000 0.0000 2.3998
Y 1.6966 1.6966 0.0000
Y 1.7421 -1.7421 4.8545
Y -1.7421 1.7421 4.8545
Y 0.0000 0.0000 7.3092
Y 1.7421 1.7421 4.8545
In 3.4388 0.0000 2.4273
In 0.0000 3.4388 2.4273
O 0.0000 0.0000 0.0000
```

No. 5
A plane-wave DFT calculation with GGA-PBE was carried out for a geometry-optimized YInO3 structure.

```
10
Lattice="2.8454 -6.2137 0.0000 2.8454 6.2137 0.0000 0.0000 0.0000 4.0032" Properties=species:S:1:pos:R:3 pbc="T T T"
Y 2.8454 4.1715 0.0000
Y 2.8454 -4.1715 0.0000
In 2.8454 1.4345 2.0016
In 2.8454 -1.4345 2.0016
O 1.4227 3.1069 2.0016
O 1.2505 0.0000 2.0016
O 2.8454 2.0112 0.0000
O 1.4227 -3.1069 2.0016
O 2.8454 -2.0112 0.0000
O 4.4403 0.0000 2.0016
```

No. 6
12
Lattice="3.5520 0.0000 0.0000 -1.7760 3.0762 0.0000 0.0000 0.0000 23.0905" Properties=species:S:1:pos:R:3 comment="Y2InO (GGA-PBE, relaxed)" de_polymorph_mev_per_atom=37 pbc="T T T"
Y 0.0000 0.0000 5.1726
Y 0.0000 0.0000 17.9179
Y 0.0000 2.0508 10.2210
Y 0.0000 2.0508 20.5663
Y 1.7760 1.0254 2.5242
Y 1.7760 1.0254 12.8695
In 0.0000 0.0000 0.0000
In 0.0000 2.0508 15.3937
In 1.7760 1.0254 7.6968
O 0.0000 0.0000 11.5452
O 0.0000 2.0508 3.8484
O 1.7760 1.0254 19.2421

No. 7
A plane-wave DFT calculation with GGA-PBE was carried out for a geometry-optimized Y12In3O5 structure.

```
80
Lattice="-7.8178 7.8178 7.8178 7.8178 -7.8178 7.8178 7.8178 7.8178 -7.8178" Properties=species:S:1:pos:R:3 pbc="T T T"
Y 2.3103 -0.6296 0.7753
Y 9.4164 4.6842 -4.5385
Y 10.1281 0.6296 0.7753
Y 9.4164 -3.1336 4.5385
Y 7.1882 -0.7753 2.3103
Y 12.3563 -1.5986 3.1336
Y 0.7753 2.3103 -0.6296
Y 10.9514 3.2793 -1.5986
Y 4.6842 4.5385 -1.5986
Y 7.0425 2.3103 0.6296
Y -0.6296 0.7753 2.3103
Y 4.5385 -1.5986 4.6842
Y 7.1882 7.0425 -2.3103
Y 4.5385 1.5986 3.1336
Y 4.6842 -4.5385 9.4164
Y 7.0425 -2.3103 7.1882
Y 3.1336 4.5385 1.5986
Y 8.5931 5.5075 0.6296
Y 4.5385 9.4164 -3.1336
Y 7.1882 0.7753 5.5075
Y 2.3103 7.1882 -0.7753
Y 9.4164 3.1336 3.2793
Y 1.5986 3.1336 4.5385
Y 2.3103 0.6296 7.0425
Y 5.5075 7.1882 0.7753
Y 6.2192 4.6842 3.2793
Y -1.5986 4.6842 4.5385
Y 5.5075 0.6296 8.5931
Y 0.6296 7.0425 2.3103
Y 3.2793 -1.5986 10.9514
Y -0.7753 2.3103 7.1882
Y 4.6842 3.2793 6.2192
Y 0.7753 10.1281 0.6296
Y 3.1336 12.3563 -1.5986
Y 3.2793 6.2192 4.6842
Y 0.6296 0.7753 10.1281
Y 3.2793 9.4164 3.1336
Y 8.4474 7.0425 5.5075
Y 0.7753 5.5075 7.1882
Y 3.1336 3.2793 9.4164
Y -3.1336 4.5385 9.4164
Y 7.0425 5.5075 8.4474
Y -4.5385 9.4164 4.6842
Y 0.6296 8.5931 5.5075
Y -1.5986 10.9514 3.2793
Y -2.3103 7.1882 7.0425
Y -1.5986 3.1336 12.3563
Y 5.5075 8.4474 7.0425
In 3.9089 1.9544 0.0000
In 7.8178 3.9089 -1.9544
In 1.9544 0.0000 3.9089
In 9.7722 0.0000 3.9089
In 0.0000 3.9089 1.9544
In 3.9089 -1.9544 7.8178
In 3.9089 9.7722 0.0000
In 7.8178 3.9089 5.8633
In -1.9544 7.8178 3.9089
In 5.8633 7.8178 3.9089
In 0.0000 3.9089 9.7722
In 3.9089 5.8633 7.8178
O 0.0000 0.0000 0.0000
O 3.9089 3.9089 -3.9089
O 3.9089 -3.9089 3.9089
O 7.8178 0.0000 0.0000
O 11.7267 1.9544 0.0000
O 7.8178 -3.9089 5.8633
O 5.8633 7.8178 -3.9089
O 5.8633 0.0000 3.9089
O 3.9089 5.8633 0.0000
O 7.8178 3.9089 1.9544
O -3.9089 3.9089 3.9089
O 0.0000 7.8178 0.0000
O 0.0000 0.0000 7.8178
O 3.9089 3.9089 3.9089
O 0.0000 3.9089 5.8633
O 3.9089 1.9544 7.8178
O 1.9544 7.8178 3.9089
O 1.9544 0.0000 11.7267
O 0.0000 11.7267 1.9544
O -3.9089 5.8633 7.8178
```

No. 8
16
Lattice="6.4307 0.0000 0.0000 0.0000 6.4307 0.0000 -0.0227 0.0000 8.7978" Properties=species:S:1:pos:R:3 comment="Y2InO (GGA-PBE, relaxed)" de_polymorph_mev_per_atom=0 pbc="T T T"
Y 0.0000 1.6080 0.0000
Y 0.0000 4.8227 0.0000
Y 1.5864 0.0000 5.9086
Y 1.6063 3.2153 2.8891
Y 3.2153 1.6074 0.0000
Y 3.2153 4.8233 0.0000
Y 4.8017 3.2153 5.9086
Y 4.8216 0.0000 2.8891
In 1.5853 3.2153 6.1501
In 1.6074 0.0000 2.6476
In 4.8006 0.0000 6.1501
In 4.8227 3.2153 2.6476
O 1.5839 0.0000 8.1936
O 1.6088 3.2153 0.6041
O 4.8241 0.0000 0.6041
O 4.7992 3.2153 8.1936

No. 9
A plane-wave DFT calculation with GGA-PBE was carried out for a geometry-optimized Y6In3O2 structure.

```
11
Lattice="-2.3519 2.3519 12.4125 2.3519 -2.3519 12.4125 2.3519 2.3519 -12.4125" Properties=species:S:1:pos:R:3 pbc="T T T"
Y 2.3519 0.0000 2.1132
Y 0.0000 0.0000 4.8569
Y 2.3519 0.0000 10.2993
Y 0.0000 2.3519 2.1132
Y 0.0000 0.0000 19.9681
Y 0.0000 2.3519 10.2993
In 0.0000 0.0000 8.0485
In 0.0000 0.0000 12.4125
In 0.0000 0.0000 16.7765
O 0.0000 0.0000 2.5012
O 0.0000 0.0000 22.3238
```

No. 10
A plane-wave DFT calculation with GGA-PBE was carried out for a geometry-optimized YIn2O structure.

```
16
Lattice="9.8714 0.0000 0.0000 0.0000 9.8714 0.0000 0.0000 0.0000 4.3078" Properties=species:S:1:pos:R:3 pbc="T T T"
Y 0.0000 0.0000 0.0000
Y 0.0000 4.9357 1.0769
Y 4.9357 0.0000 3.2308
Y 4.9357 4.9357 2.1539
In 1.3826 2.4679 2.6924
In 2.4679 6.3183 3.7693
In 2.4679 8.4888 1.6154
In 3.5531 2.4679 0.5385
In 6.3183 7.4036 0.5385
In 7.4036 1.3826 1.6154
In 7.4036 3.5531 3.7693
In 8.4888 7.4036 2.6924
O 0.0000 0.0000 2.1539
O 0.0000 4.9357 3.2308
O 4.9357 0.0000 1.0769
O 4.9357 4.9357 0.0000
```

No. 11
16
Lattice="6.9712 0.0000 0.0000 0.0000 6.9712 0.0000 0.0000 0.0000 7.9785" Properties=species:S:1:pos:R:3 comment="Y2InO (GGA-PBE, relaxed)" de_polymorph_mev_per_atom=127 pbc="T T T"
Y 0.9793 5.2284 0.9973
Y 1.7428 0.9793 6.9812
Y 1.7428 2.5063 2.9920
Y 2.5063 5.2284 4.9866
Y 4.4649 1.7428 4.9866
Y 5.2284 4.4649 2.9920
Y 5.2284 5.9919 6.9812
Y 5.9919 1.7428 0.9973
In 0.0000 0.0000 3.9893
In 0.0000 3.4856 5.9839
In 3.4856 0.0000 1.9946
In 3.4856 3.4856 0.0000
O 0.0000 0.0000 0.0000
O 0.0000 3.4856 1.9946
O 3.4856 0.0000 5.9839
O 3.4856 3.4856 3.9893

No. 12
5
Lattice="5.9613 0.0000 0.0000 0.0000 5.9613 0.0000 0.0000 0.0000 5.9613" Properties=species:S:1:pos:R:3 comment="YIn3O (GGA-PBE, relaxed)" de_polymorph_mev_per_atom=1456 pbc="T T T"
Y 0.0000 0.0000 0.0000
In 0.0000 0.0000 2.9806
In 0.0000 2.9806 0.0000
In 2.9806 0.0000 0.0000
O 2.9806 2.9806 2.9806

Magnetic moment: 0.00, 0.00, 0.00, 0.00, 0.00, 0.00, 0.03, 0.00, 0.00, 0.00, 0.00, 1.26 (μB/cell)
Formation energy without anion corrections: -1190, -200, -195, -769, -981, -621, -2972, -635, -1386, -342, -586, 502 (kJ/mol of formula units)